Record 1
Entry from Alexandria via LeMat-Bulk: a geometry-optimized Al3V4Mo2 structure (PBE).

E_form ... -0.1793 eV/atom
Energy ... -70.98 eV for the cell shown
Size of the total moment ... 0.000 μB per atom
Space group ... C2/m, No. 12

Cell lengths 6.5664, 6.5664, 6.8088 Å; angles 107.23, 107.23, 28.05 degrees
With the nearest neighbours (Å) after each atom.
Fractional positions:
Al 0.0000 0.0000 0.0000  6 V 2.73-2.86, 4 Mo 2.75
Al 0.1302 0.1302 0.6846  6 V 2.66-2.83, 4 Mo 2.73-2.74
Al 0.8698 0.8698 0.3154  6 V 2.66-2.83, 4 Mo 2.73-2.74
V 0.2028 0.2028 0.3313  2 Mo 2.55, 4 V 2.60-2.75, 3 Al 2.69-2.83
V 0.3230 0.3230 0.9823  4 V 2.51-2.60, 5 Al 2.66-2.73
V 0.6770 0.6770 0.0177  4 V 2.51-2.60, 5 Al 2.66-2.73
V 0.7972 0.7972 0.6687  2 Mo 2.55, 4 V 2.60-2.75, 3 Al 2.69-2.83
Mo 0.4509 0.4509 0.6545  2 V 2.55, 6 Al 2.73-2.75, 1 Mo 2.76
Mo 0.5491 0.5491 0.3455  2 V 2.55, 6 Al 2.73-2.75, 1 Mo 2.76

***

Record 2
Entry from Alexandria via LeMat-Bulk: a geometry-optimized Pm3Y2ErTm6 structure (PBE).

E_form ... 0.0246 eV/atom
Energy ... -58.28 eV for the cell shown
Size of the total moment ... 0.000 μB per atom
Space group ... C2/m, No. 12

Cell lengths 6.1466, 6.1466, 11.7026 Å; angles 95.01, 95.01, 119.95 degrees
With the nearest neighbours (Å) after each atom.
Fractional positions:
Pm 0.0000 0.0000 0.0000  6 Pm 3.55, 6 Tm 3.56
Pm 0.3333 0.6667 0.0000  6 Pm 3.55, 6 Tm 3.55-3.56
Pm 0.6667 0.3333 0.0000  6 Pm 3.55, 6 Tm 3.55-3.56
Y 0.1667 0.8333 0.5000  6 Tm 3.52, 3 Er 3.55, 3 Y 3.55
Y 0.8333 0.1667 0.5000  6 Tm 3.52, 3 Er 3.55, 3 Y 3.55
Er 0.5000 0.5000 0.5000  6 Tm 3.51, 6 Y 3.55
Tm 0.0853 0.4177 0.2522  1 Er 3.51, 2 Y 3.52, 6 Tm 3.54-3.56, 3 Pm 3.55-3.56
Tm 0.2498 0.2498 0.7478  1 Er 3.51, 2 Y 3.52, 6 Tm 3.54-3.56, 3 Pm 3.56
Tm 0.4177 0.0853 0.2522  1 Er 3.51, 2 Y 3.52, 6 Tm 3.54-3.56, 3 Pm 3.55-3.56
Tm 0.5823 0.9147 0.7478  1 Er 3.51, 2 Y 3.52, 6 Tm 3.54-3.56, 3 Pm 3.55-3.56
Tm 0.7502 0.7502 0.2522  1 Er 3.51, 2 Y 3.52, 6 Tm 3.54-3.56, 3 Pm 3.56
Tm 0.9147 0.5823 0.7478  1 Er 3.51, 2 Y 3.52, 6 Tm 3.54-3.56, 3 Pm 3.55-3.56

***

Record 3
Entry from Alexandria via LeMat-Bulk: a geometry-optimized Sr2YRu structure (PBE).

E_form ... 0.4253 eV/atom
Energy ... -17.40 eV for the cell shown
Size of the total moment ... 0.000 μB per atom
Space group ... I-4m2, No. 119

Cell lengths 5.4261, 5.4261, 5.4261 Å; angles 120.26, 120.26, 89.55 degrees
With the nearest neighbours (Å) after each atom.
Fractional positions:
Sr 0.0000 0.0000 0.0000  4 Y 3.32, 4 Sr 3.32
Sr 0.7500 0.2500 0.5000  4 Ru 3.32, 4 Sr 3.32
Y 0.2500 0.7500 0.5000  4 Ru 3.32, 4 Sr 3.32
Ru 0.5000 0.5000 0.0000  4 Sr 3.32, 4 Y 3.32